Entry 1:
Compound: ErCr4Mo
Source: the Alexandria database
Functional: GGA-PBE
Structure: optimized geometry

POSCAR file:
```
ErCr4Mo
1.0
4.986 0.000 0.000
2.493 4.318 0.000
2.493 1.439 4.071
Cr Mo Er
4 1 1
direct
0.624 0.624 0.127
0.127 0.624 0.624
0.624 0.624 0.624
0.624 0.127 0.624
0.250 0.250 0.250
0.000 0.000 0.000
```

Properties
As for the symmetry: F-43m (216). The value obtained for the calculated total energy is -8.798 eV per atom. Its total magnetization is 0.000 μB per atom. As for the density of states at the Fermi level: 3.46 states/eV per cell.

Entry 2:
Compound: ErCrMo
Source: the Alexandria database
Functional: GGA-PBE
Structure: optimized geometry

POSCAR file:
```
ErCrMo
1.0
4.923 0.256 0.000
-2.133 4.444 0.000
-1.395 -2.350 4.891
Mo Cr Er
2 2 2
direct
0.825 0.825 0.650
0.175 0.175 0.350
0.750 0.250 0.500
0.250 0.750 0.500
0.677 0.323 0.000
0.323 0.677 0.000
```

Properties
As for the symmetry: Fmmm (69). The value obtained for the calculated total energy is -7.965 eV per atom. Its total magnetization is 0.001 μB per atom. As for the density of states at the Fermi level: 5.57 states/eV per cell.

Entry 3:
Compound: Er2CrMoN5
Source: the Alexandria database
Functional: GGA-PBE
Structure: optimized geometry

POSCAR file:
```
Er2CrMoN5
1.0
-0.964 1.371 -2.691
-4.763 -4.418 1.323
-4.949 6.923 5.298
N Cr Er Mo
10 2 4 2
direct
0.370 0.740 0.001
0.044 0.087 0.047
0.511 0.023 0.287
0.718 0.435 0.150
0.681 0.362 0.872
0.282 0.565 0.650
0.956 0.913 0.547
0.630 0.260 0.501
0.489 0.977 0.787
0.319 0.638 0.372
0.482 0.964 0.464
0.518 0.036 0.964
0.108 0.216 0.702
0.855 0.709 0.792
0.145 0.291 0.292
0.892 0.784 0.202
0.779 0.559 0.511
0.221 0.441 0.011
```

Properties
As for the symmetry: Cmc2_1 (36). The value obtained for the calculated total energy is -8.877 eV per atom. Its total magnetization is 0.000 μB per atom. As for the density of states at the Fermi level: 5.04 states/eV per cell.

Entry 4:
Compound: ErCrN
Source: the Alexandria database
Functional: GGA-PBE
Structure: optimized geometry

POSCAR file:
```
ErCrN
1.0
3.282 0.000 0.000
0.000 3.282 0.000
0.000 0.000 8.688
N Er Cr
2 2 2
direct
0.500 0.000 0.377
0.000 0.500 0.623
0.500 0.000 0.646
0.000 0.500 0.354
0.000 0.000 0.000
0.500 0.500 0.000
```

Properties
As for the symmetry: P4/nmm (129). The value obtained for the calculated total energy is -7.811 eV per atom. Its total magnetization is 0.121 μB per atom. As for the density of states at the Fermi level: 5.38 states/eV per cell.

Entry 5:
Compound: Er2CrN4
Source: the Alexandria database
Functional: GGA-PBE
Structure: optimized geometry

POSCAR file:
```
Er2CrN4
1.0
-3.681 -3.997 0.590
0.413 -1.166 -5.328
5.923 -2.549 1.017
N Cr Er
8 2 4
direct
0.045 0.750 0.354
0.533 0.495 0.745
0.955 0.250 0.646
0.467 0.995 0.255
0.467 0.505 0.255
0.075 0.750 0.929
0.925 0.250 0.071
0.533 0.005 0.745
0.249 0.750 0.196
0.751 0.250 0.804
0.236 0.250 0.437
0.764 0.750 0.563
0.694 0.750 0.036
0.306 0.250 0.964
```

Properties
As for the symmetry: P2_1/m (11). The value obtained for the calculated total energy is -8.560 eV per atom. Its total magnetization is 0.000 μB per atom.

Entry 6:
Compound: NdErCrN3
Source: the Alexandria database
Functional: GGA-PBE
Structure: optimized geometry

POSCAR file:
```
NdErCrN3
1.0
-0.818 2.765 -1.826
-5.186 -3.882 -3.555
-4.019 2.518 5.611
N Nd Er Cr
6 2 2 2
direct
0.250 0.836 0.481
0.750 0.876 0.153
0.750 0.164 0.519
0.250 0.590 0.851
0.250 0.124 0.847
0.750 0.410 0.149
0.250 0.182 0.185
0.750 0.818 0.815
0.750 0.365 0.833
0.250 0.635 0.167
0.750 0.918 0.401
0.250 0.082 0.599
```

Properties
As for the symmetry: P2_1/m (11). The value obtained for the calculated total energy is -8.435 eV per atom. Its total magnetization is 0.000 μB per atom. As for the density of states at the Fermi level: 4.83 states/eV per cell.

Entry 7:
Compound: NdErCrN4
Source: the Alexandria database
Functional: GGA-PBE
Structure: optimized geometry

POSCAR file:
```
NdErCrN4
1.0
-1.350 -5.234 -1.271
3.123 -1.814 4.150
-4.561 2.325 4.448
N Er Nd Cr
8 2 2 2
direct
0.578 0.250 0.434
0.444 0.750 0.156
0.967 0.495 0.743
0.033 0.505 0.257
0.422 0.750 0.566
0.033 0.995 0.257
0.967 0.005 0.743
0.556 0.250 0.844
0.202 0.250 0.539
0.798 0.750 0.461
0.725 0.750 0.934
0.275 0.250 0.066
0.755 0.250 0.689
0.245 0.750 0.311
```

Properties
As for the symmetry: P2_1/m (11). The value obtained for the calculated total energy is -8.574 eV per atom. Its total magnetization is 0.000 μB per atom.

Entry 8:
Compound: Er2CrPN5
Source: the Alexandria database
Functional: GGA-PBE
Structure: optimized geometry

POSCAR file:
```
Er2CrPN5
1.0
3.057 0.000 0.000
-1.529 6.708 0.000
0.000 0.000 9.819
N P Cr Er
10 2 2 4
direct
0.349 0.697 0.008
0.708 0.416 0.159
0.505 0.010 0.289
0.651 0.303 0.508
0.678 0.356 0.886
0.956 0.913 0.520
0.495 0.990 0.789
0.292 0.584 0.659
0.044 0.087 0.020
0.322 0.644 0.386
0.559 0.119 0.928
0.441 0.881 0.428
0.213 0.426 0.039
0.787 0.574 0.539
0.861 0.721 0.821
0.139 0.279 0.321
0.888 0.775 0.173
0.112 0.225 0.673
```

Properties
As for the symmetry: Cmc2_1 (36). The value obtained for the calculated total energy is -8.280 eV per atom. Its total magnetization is 0.217 μB per atom. As for the density of states at the Fermi level: 1.34 states/eV per cell.

Entry 9:
Compound: ErPa2CrN5
Source: the Alexandria database
Functional: GGA-PBE
Structure: optimized geometry

POSCAR file:
```
ErPa2CrN5
1.0
3.340 0.000 0.000
-1.670 6.764 0.000
0.000 0.000 10.093
N Er Cr Pa
10 2 2 4
direct
0.369 0.738 0.003
0.284 0.568 0.674
0.631 0.262 0.503
0.518 0.036 0.283
0.035 0.069 0.047
0.482 0.964 0.783
0.965 0.931 0.547
0.329 0.659 0.352
0.671 0.341 0.852
0.716 0.432 0.174
0.202 0.404 0.005
0.798 0.596 0.505
0.515 0.031 0.967
0.485 0.969 0.467
0.141 0.282 0.305
0.888 0.777 0.188
0.112 0.223 0.688
0.859 0.718 0.805
```

Properties
As for the symmetry: Cmc2_1 (36). The value obtained for the calculated total energy is -9.593 eV per atom. Its total magnetization is 0.000 μB per atom. As for the density of states at the Fermi level: 9.81 states/eV per cell.

Entry 10:
Compound: PmEr2CrN4
Source: the Alexandria database
Functional: GGA-PBE
Structure: optimized geometry

POSCAR file:
```
PmEr2CrN4
1.0
-3.095 0.552 -1.242
-0.743 -1.774 5.664
0.550 10.961 3.505
Pm N Er Cr
2 8 4 2
direct
0.098 0.196 0.750
0.902 0.804 0.250
0.000 0.000 0.500
0.575 0.150 0.250
0.000 0.000 0.000
0.735 0.471 0.874
0.265 0.529 0.374
0.265 0.529 0.126
0.735 0.471 0.626
0.425 0.850 0.750
0.631 0.261 0.457
0.369 0.739 0.543
0.631 0.261 0.043
0.369 0.739 0.957
0.165 0.330 0.250
0.835 0.670 0.750
```

Properties
As for the symmetry: Cmcm (63). The value obtained for the calculated total energy is -8.383 eV per atom. Its total magnetization is 0.215 μB per atom. As for the density of states at the Fermi level: 6.95 states/eV per cell.

Entry 11:
Compound: Pm2ErCrN4
Source: the Alexandria database
Functional: GGA-PBE
Structure: optimized geometry

POSCAR file:
```
Pm2ErCrN4
1.0
3.405 0.000 0.000
-1.703 5.791 0.000
0.000 0.000 12.098
Pm N Cr Er
4 8 2 2
direct
0.367 0.734 0.542
0.367 0.734 0.958
0.633 0.266 0.458
0.633 0.266 0.042
0.000 0.000 0.000
0.727 0.454 0.640
0.273 0.546 0.140
0.573 0.147 0.250
0.727 0.454 0.860
0.000 0.000 0.500
0.427 0.853 0.750
0.273 0.546 0.360
0.842 0.685 0.750
0.158 0.315 0.250
0.119 0.238 0.750
0.881 0.762 0.250
```

Properties
As for the symmetry: Cmcm (63). The value obtained for the calculated total energy is -8.166 eV per atom. Its total magnetization is 0.274 μB per atom. As for the density of states at the Fermi level: 5.74 states/eV per cell.

Entry 12:
Compound: PmErCrN3
Source: the Alexandria database
Functional: GGA-PBE
Structure: optimized geometry

POSCAR file:
```
PmErCrN3
1.0
-2.993 -0.125 -1.619
-3.104 -2.890 5.962
-1.095 7.125 1.475
N Pm Er Cr
6 2 2 2
direct
0.750 0.879 0.152
0.250 0.121 0.848
0.750 0.407 0.148
0.250 0.593 0.852
0.750 0.165 0.521
0.250 0.835 0.479
0.250 0.178 0.180
0.750 0.822 0.820
0.250 0.635 0.167
0.750 0.365 0.833
0.250 0.082 0.599
0.750 0.918 0.401
```

Properties
As for the symmetry: P2_1/m (11). The value obtained for the calculated total energy is -8.448 eV per atom. Its total magnetization is 0.001 μB per atom. As for the density of states at the Fermi level: 5.19 states/eV per cell.